No. 1
This record from the Alexandria database describes TlAs2SeN after structural relaxation. The functional is PBEsol.

It has space group P4/mmm (No. 123), with a = 4.532 Å, b = 4.532 Å, c = 4.328 Å, α = 90.00°, β = 90.00° and γ = 90.00°. The asymmetric unit holds Tl at (0.000, 0.000, 0.000), As at (0.000, 0.500, 0.500), Se at (0.500, 0.500, 0.000) and N at (0.500, 0.500, 0.500).

As for the crystal system: tetragonal. Its excess energy over the best structure of this formula in the dataset is 0 kJ/mol of formula units. The density of states at the Fermi level is 3.24 states/eV/f.u. The uncorrected formation energy is 0.666 eV/atom. The volume is 88.9 Å³ per cell.



No. 2
This record from the Alexandria database describes TlAsSe2N after structural relaxation. The functional is PBEsol.

It has space group P4/mmm (No. 123), with a = 4.407 Å, b = 4.407 Å, c = 4.631 Å, α = 90.00°, β = 90.00° and γ = 90.00°. The asymmetric unit holds Tl at (0.000, 0.000, 0.000), As at (0.500, 0.500, 0.000), Se at (0.000, 0.500, 0.500) and N at (0.500, 0.500, 0.500).

As for the crystal system: tetragonal. The density of states at the Fermi level is 3.11 states/eV/f.u. The uncorrected formation energy is 0.659 eV/atom. The volume is 89.9 Å³ per cell.



No. 3
This record from the Alexandria database describes TlAs2SeN after structural relaxation. The functional is PBEsol.

It has space group P4/mmm (No. 123), with a = 5.332 Å, b = 5.332 Å, c = 5.337 Å, α = 90.00°, β = 90.00° and γ = 90.00°. The asymmetric unit holds Tl at (0.000, 0.000, 0.000), As at (0.000, 0.500, 0.000), Se at (0.000, 0.000, 0.500) and N at (0.500, 0.500, 0.500).

As for the crystal system: tetragonal. Its excess energy over the best structure of this formula in the dataset is 662 kJ/mol of formula units. The density of states at the Fermi level is 3.85 states/eV/f.u. The uncorrected formation energy is 2.039 eV/atom. The volume is 151.7 Å³ per cell.



No. 4
This record from the Alexandria database describes TlAsSeN2 after structural relaxation. The functional is PBEsol.

It has space group P4/mmm (No. 123), with a = 3.856 Å, b = 3.856 Å, c = 5.383 Å, α = 90.00°, β = 90.00° and γ = 90.00°. The asymmetric unit holds Tl at (0.000, 0.000, 0.000), As at (0.500, 0.500, 0.500), Se at (0.500, 0.500, 0.000) and N at (0.000, 0.500, 0.500).

As for the crystal system: tetragonal. The density of states at the Fermi level is 2.23 states/eV/f.u. The uncorrected formation energy is 1.037 eV/atom. The volume is 80.0 Å³ per cell.



No. 5
This record from the Alexandria database describes ZnAsSe2N after structural relaxation. The functional is PBEsol.

It has space group P4/mmm (No. 123), with a = 4.263 Å, b = 4.263 Å, c = 4.461 Å, α = 90.00°, β = 90.00° and γ = 90.00°. The asymmetric unit holds Zn at (0.000, 0.000, 0.000), As at (0.500, 0.500, 0.000), Se at (0.000, 0.500, 0.500) and N at (0.500, 0.500, 0.500).

As for the crystal system: tetragonal. The density of states at the Fermi level is 2.71 states/eV/f.u. The uncorrected formation energy is 0.743 eV/atom. The volume is 81.1 Å³ per cell.



No. 6
This record from the Alexandria database describes ZnAsSeN2 after structural relaxation. The functional is PBEsol.

It has space group P4/mmm (No. 123), with a = 3.645 Å, b = 3.645 Å, c = 5.666 Å, α = 90.00°, β = 90.00° and γ = 90.00°. The asymmetric unit holds Zn at (0.000, 0.000, 0.000), As at (0.500, 0.500, 0.500), Se at (0.500, 0.500, 0.000) and N at (0.000, 0.500, 0.500).

As for the crystal system: tetragonal. The density of states at the Fermi level is 2.73 states/eV/f.u. The uncorrected formation energy is 0.999 eV/atom. The volume is 75.3 Å³ per cell.



The lowest density of states at the Fermi level belongs to which entry?
TlAsSeN2



Among the records above, which one has the lowest density of states at the Fermi level?
TlAsSeN2